1.
Here is an optimized crystal structure of CaAs2PBr from Alexandria. Energies are from PBE.

abc: 5.6843 5.6843 5.3267
angles: 90.00 90.00 90.00
Last column: nearest neighbours and their distance in Å.
Element x y z (fractional)
P1 0.5000 0.5000 0.5000  8 As 3.90, 4 Br 4.02
As1 0.5000 0.0000 0.0000  2 Ca 2.84
As2 0.0000 0.5000 0.0000  2 Ca 2.84
Ca1 0.0000 0.0000 0.0000  2 Br 2.66, 4 As 2.84
Br1 0.0000 0.0000 0.5000  2 Ca 2.66

Results
- Spin magnetization: 0.11 μB per formula unit
- Excess energy over the best structure of this formula in the dataset: 885 meV/atom
- Calculated total energy: -2.9145 eV/atom
- Formation energy from raw total energies: 762.2 meV/atom
- Density of states at the Fermi level: 4.9 states/eV per cell

2.
Here is an optimized crystal structure of CaAsPbBr2 from Alexandria. Energies are from PBE.

abc: 5.3753 5.3753 5.9827
angles: 90.00 90.00 90.00
Last column: nearest neighbours and their distance in Å.
Element x y z (fractional)
Ca1 0.0000 0.0000 0.0000  4 Br 2.69, 2 As 2.99
As1 0.0000 0.0000 0.5000  2 Ca 2.99
Pb1 0.5000 0.5000 0.5000  4 As 3.80, 8 Br 4.02
Br1 0.0000 0.5000 0.0000  2 Ca 2.69
Br2 0.5000 0.0000 0.0000  2 Ca 2.69

Results
- Spin magnetization: 0.90 μB per formula unit
- Excess energy over the best structure of this formula in the dataset: 0 meV/atom
- Calculated total energy: -3.2806 eV/atom
- Formation energy from raw total energies: -539.6 meV/atom
- Density of states at the Fermi level: 3.7 states/eV per cell

3.
Here is an optimized crystal structure of CaAsPbBr2 from Alexandria. Energies are from PBE.

abc: 5.6866 5.6866 5.5250
angles: 90.00 90.00 90.00
Last column: nearest neighbours and their distance in Å.
Element x y z (fractional)
Ca1 0.5000 0.5000 0.5000  8 Br 3.96, 4 As 4.02
Br1 0.5000 0.0000 0.0000  2 Pb 2.84
Br2 0.0000 0.5000 0.0000  2 Pb 2.84
Pb1 0.0000 0.0000 0.0000  2 As 2.76, 4 Br 2.84
As1 0.0000 0.0000 0.5000  2 Pb 2.76

Results
- Spin magnetization: 0.00 μB per formula unit
- Excess energy over the best structure of this formula in the dataset: 163 meV/atom
- Calculated total energy: -3.1180 eV/atom
- Formation energy from raw total energies: -376.9 meV/atom
- Density of states at the Fermi level: 2.5 states/eV per cell

4.
Here is an optimized crystal structure of CaAsPdBr2 from Alexandria. Energies are from PBE.

abc: 5.4728 5.4728 5.9255
angles: 90.00 90.00 90.00
Last column: nearest neighbours and their distance in Å.
Element x y z (fractional)
Pd1 0.5000 0.5000 0.5000  4 As 3.87, 8 Br 4.03
As1 0.0000 0.0000 0.5000  2 Ca 2.96
Br1 0.5000 0.0000 0.0000  2 Ca 2.74
Br2 0.0000 0.5000 0.0000  2 Ca 2.74
Ca1 0.0000 0.0000 0.0000  4 Br 2.74, 2 As 2.96

Results
- Spin magnetization: 1.77 μB per formula unit
- Excess energy over the best structure of this formula in the dataset: 491 meV/atom
- Calculated total energy: -3.0132 eV/atom
- Formation energy from raw total energies: 24.7 meV/atom
- Density of states at the Fermi level: 8.2 states/eV per cell

5.
Here is an optimized crystal structure of CaAsPdBr2 from Alexandria. Energies are from PBE.

abc: 5.1643 5.1643 5.0296
angles: 90.00 90.00 90.00
Last column: nearest neighbours and their distance in Å.
Element x y z (fractional)
Br1 0.5000 0.0000 0.0000  2 Pd 2.58
Br2 0.0000 0.5000 0.0000  2 Pd 2.58
As1 0.0000 0.0000 0.5000  2 Pd 2.51
Pd1 0.0000 0.0000 0.0000  2 As 2.51, 4 Br 2.58
Ca1 0.5000 0.5000 0.5000  8 Br 3.60, 4 As 3.65

Results
- Spin magnetization: 0.76 μB per formula unit
- Excess energy over the best structure of this formula in the dataset: 0 meV/atom
- Calculated total energy: -3.5041 eV/atom
- Formation energy from raw total energies: -466.1 meV/atom
- Density of states at the Fermi level: 3.3 states/eV per cell

6.
Here is an optimized crystal structure of CaAsPtBr2 from Alexandria. Energies are from PBE.

abc: 5.3199 5.3199 6.0988
angles: 90.00 90.00 90.00
Last column: nearest neighbours and their distance in Å.
Element x y z (fractional)
Br1 0.5000 0.0000 0.0000  2 Ca 2.66
Br2 0.0000 0.5000 0.0000  2 Ca 2.66
Pt1 0.5000 0.5000 0.5000  4 As 3.76, 8 Br 4.05
As1 0.0000 0.0000 0.5000  2 Ca 3.05
Ca1 0.0000 0.0000 0.0000  4 Br 2.66

Results
- Spin magnetization: 1.95 μB per formula unit
- Excess energy over the best structure of this formula in the dataset: 738 meV/atom
- Calculated total energy: -2.8621 eV/atom
- Formation energy from raw total energies: 345.4 meV/atom
- Density of states at the Fermi level: 2.6 states/eV per cell

7.
Here is an optimized crystal structure of CaAsPtBr2 from Alexandria. Energies are from PBE.

abc: 5.2773 5.2773 4.8932
angles: 90.00 90.00 90.00
Last column: nearest neighbours and their distance in Å.
Element x y z (fractional)
Pt1 0.0000 0.0000 0.0000  2 As 2.45, 4 Br 2.64
Br1 0.0000 0.5000 0.0000  2 Pt 2.64
Br2 0.5000 0.0000 0.0000  2 Pt 2.64
As1 0.0000 0.0000 0.5000  2 Pt 2.45
Ca1 0.5000 0.5000 0.5000  8 Br 3.60, 4 As 3.73

Results
- Spin magnetization: 0.00 μB per formula unit
- Excess energy over the best structure of this formula in the dataset: 0 meV/atom
- Calculated total energy: -3.5997 eV/atom
- Formation energy from raw total energies: -392.2 meV/atom
- Density of states at the Fermi level: 2.6 states/eV per cell

8.
Here is an optimized crystal structure of CaAs2PtBr from Alexandria. Energies are from PBE.

abc: 5.4603 5.4603 5.1637
angles: 90.00 90.00 90.00
Last column: nearest neighbours and their distance in Å.
Element x y z (fractional)
Pt1 0.5000 0.5000 0.5000  8 As 3.76, 4 Br 3.86
As1 0.0000 0.5000 0.0000  2 Ca 2.73
As2 0.5000 0.0000 0.0000  2 Ca 2.73
Br1 0.0000 0.0000 0.5000  2 Ca 2.58
Ca1 0.0000 0.0000 0.0000  2 Br 2.58, 4 As 2.73

Results
- Spin magnetization: 0.00 μB per formula unit
- Excess energy over the best structure of this formula in the dataset: 1076 meV/atom
- Calculated total energy: -2.9156 eV/atom
- Formation energy from raw total energies: 887.3 meV/atom
- Density of states at the Fermi level: 7.8 states/eV per cell

9.
Here is an optimized crystal structure of CaAs2PtBr from Alexandria. Energies are from PBE.

abc: 4.8879 4.8879 5.4944
angles: 90.00 90.00 90.00
Last column: nearest neighbours and their distance in Å.
Element x y z (fractional)
Ca1 0.5000 0.5000 0.5000  4 Br 3.46, 8 As 3.68
As1 0.0000 0.5000 0.0000  2 Pt 2.44
As2 0.5000 0.0000 0.0000  2 Pt 2.44
Br1 0.0000 0.0000 0.5000  2 Pt 2.75
Pt1 0.0000 0.0000 0.0000  4 As 2.44

Results
- Spin magnetization: 0.50 μB per formula unit
- Excess energy over the best structure of this formula in the dataset: 0 meV/atom
- Calculated total energy: -3.9916 eV/atom
- Formation energy from raw total energies: -188.7 meV/atom
- Density of states at the Fermi level: 5.2 states/eV per cell

10.
Here is an optimized crystal structure of Rb2CaAsBr6 from Alexandria. Energies are from PBE.

abc: 7.8271 7.8271 8.3392
angles: 62.01 62.01 90.00
Last column: nearest neighbours and their distance in Å.
Element x y z (fractional)
Br1 0.7616 0.2384 0.0000  1 As 2.64, 1 Ca 2.90
Br2 0.7616 0.7616 0.0000  1 As 2.64, 1 Ca 2.90
Br3 0.2734 0.2734 0.4532  1 Ca 2.83
Br4 0.2384 0.7616 0.0000  1 As 2.64, 1 Ca 2.90
Br5 0.7266 0.7266 0.5468  1 Ca 2.83
Br6 0.2384 0.2384 0.0000  1 As 2.64, 1 Ca 2.90
Rb1 0.2500 0.7500 0.5000  12 Br 3.92-4.17
Rb2 0.7500 0.2500 0.5000  12 Br 3.92-4.17
Ca1 0.5000 0.5000 0.0000  6 Br 2.83-2.90
As1 0.0000 0.0000 0.0000  4 Br 2.64

Results
- Spin magnetization: 1.00 μB per formula unit
- Calculated total energy: -3.1571 eV/atom
- Formation energy from raw total energies: -1294.8 meV/atom
- Density of states at the Fermi level: 0.0 states/eV per cell

11.
Here is an optimized crystal structure of RbCaAsBr2 from Alexandria. Energies are from PBE.

abc: 5.9874 5.9874 5.8485
angles: 90.00 90.00 90.00
Last column: nearest neighbours and their distance in Å.
Element x y z (fractional)
Br1 0.0000 0.5000 0.0000  2 Rb 2.99
Br2 0.5000 0.0000 0.0000  2 Rb 2.99
As1 0.0000 0.0000 0.5000  2 Rb 2.92
Rb1 0.0000 0.0000 0.0000  2 As 2.92, 4 Br 2.99
Ca1 0.5000 0.5000 0.5000  8 Br 4.18, 4 As 4.23

Results
- Spin magnetization: 1.00 μB per formula unit
- Excess energy over the best structure of this formula in the dataset: 877 meV/atom
- Calculated total energy: -2.4031 eV/atom
- Formation energy from raw total energies: -210.2 meV/atom
- Density of states at the Fermi level: 4.3 states/eV per cell

12.
Here is an optimized crystal structure of RbCaAsBr2 from Alexandria. Energies are from PBE.

abc: 5.7835 5.7835 5.9271
angles: 90.00 90.00 90.00
Last column: nearest neighbours and their distance in Å.
Element x y z (fractional)
Br1 0.0000 0.5000 0.0000  2 Ca 2.89
Br2 0.5000 0.0000 0.0000  2 Ca 2.89
Ca1 0.0000 0.0000 0.0000  4 Br 2.89, 2 As 2.96
As1 0.0000 0.0000 0.5000  2 Ca 2.96
Rb1 0.5000 0.5000 0.5000  4 As 4.09, 8 Br 4.14

Results
- Spin magnetization: 2.00 μB per formula unit
- Excess energy over the best structure of this formula in the dataset: 0 meV/atom
- Calculated total energy: -3.2803 eV/atom
- Formation energy from raw total energies: -1087.4 meV/atom
- Density of states at the Fermi level: 0.9 states/eV per cell

13.
Here is an optimized crystal structure of CaReAsBr2 from Alexandria. Energies are from PBE.

abc: 5.2822 5.2822 4.7702
angles: 90.00 90.00 90.00
Last column: nearest neighbours and their distance in Å.
Element x y z (fractional)
As1 0.0000 0.0000 0.5000  2 Re 2.39
Br1 0.5000 0.0000 0.0000  2 Re 2.64
Br2 0.0000 0.5000 0.0000  2 Re 2.64
Ca1 0.5000 0.5000 0.5000  8 Br 3.56, 4 As 3.74
Re1 0.0000 0.0000 0.0000  2 As 2.39, 4 Br 2.64

Results
- Spin magnetization: 0.50 μB per formula unit
- Excess energy over the best structure of this formula in the dataset: 0 meV/atom
- Calculated total energy: -4.5103 eV/atom
- Formation energy from raw total energies: -21.3 meV/atom
- Density of states at the Fermi level: 4.1 states/eV per cell

14.
Here is an optimized crystal structure of CaReAsBr2 from Alexandria. Energies are from PBE.

abc: 5.3748 5.3748 6.0265
angles: 90.00 90.00 90.00
Last column: nearest neighbours and their distance in Å.
Element x y z (fractional)
Br1 0.0000 0.5000 0.0000  2 Ca 2.69
Br2 0.5000 0.0000 0.0000  2 Ca 2.69
As1 0.0000 0.0000 0.5000  2 Ca 3.01
Ca1 0.0000 0.0000 0.0000  4 Br 2.69
Re1 0.5000 0.5000 0.5000  4 As 3.80, 8 Br 4.04

Results
- Spin magnetization: 3.99 μB per formula unit
- Excess energy over the best structure of this formula in the dataset: 724 meV/atom
- Calculated total energy: -3.7864 eV/atom
- Formation energy from raw total energies: 702.6 meV/atom
- Density of states at the Fermi level: 2.0 states/eV per cell

15.
Here is an optimized crystal structure of CaAsRhBr2 from Alexandria. Energies are from PBE.

abc: 5.2193 5.2193 4.7820
angles: 90.00 90.00 90.00
Last column: nearest neighbours and their distance in Å.
Element x y z (fractional)
Ca1 0.5000 0.5000 0.5000  8 Br 3.54, 4 As 3.69
Br1 0.5000 0.0000 0.0000  2 Rh 2.61
Br2 0.0000 0.5000 0.0000  2 Rh 2.61
Rh1 0.0000 0.0000 0.0000  2 As 2.39, 4 Br 2.61
As1 0.0000 0.0000 0.5000  2 Rh 2.39

Results
- Spin magnetization: 0.00 μB per formula unit
- Excess energy over the best structure of this formula in the dataset: 0 meV/atom
- Calculated total energy: -3.9384 eV/atom
- Formation energy from raw total energies: -468.7 meV/atom
- Density of states at the Fermi level: 3.8 states/eV per cell

16.
Here is an optimized crystal structure of CaAsRhBr2 from Alexandria. Energies are from PBE.

abc: 4.9045 5.7048 4.9045
angles: 90.00 90.00 90.00
Last column: nearest neighbours and their distance in Å.
Element x y z (fractional)
Rh1 0.0000 0.0000 0.0000  4 Br 2.45
Ca1 0.0000 0.5000 0.0000  2 Rh 2.85
Br1 0.0000 0.0000 0.5000  2 Rh 2.45
Br2 0.5000 0.0000 0.0000  2 Rh 2.45
As1 0.5000 0.5000 0.5000  4 Ca 3.47, 8 Br 3.76

Results
- Spin magnetization: 0.88 μB per formula unit
- Excess energy over the best structure of this formula in the dataset: 454 meV/atom
- Calculated total energy: -3.4845 eV/atom
- Formation energy from raw total energies: -14.9 meV/atom
- Density of states at the Fermi level: 6.2 states/eV per cell

17.
Here is an optimized crystal structure of CaAsRhBr2 from Alexandria. Energies are from PBE.

abc: 5.3580 5.3580 5.8767
angles: 90.00 90.00 90.00
Last column: nearest neighbours and their distance in Å.
Element x y z (fractional)
Br1 0.0000 0.5000 0.0000  2 Ca 2.68
Br2 0.5000 0.0000 0.0000  2 Ca 2.68
Ca1 0.0000 0.0000 0.0000  4 Br 2.68, 2 As 2.94
Rh1 0.5000 0.5000 0.5000  4 As 3.79, 8 Br 3.98
As1 0.0000 0.0000 0.5000  2 Ca 2.94

Results
- Spin magnetization: 1.73 μB per formula unit
- Excess energy over the best structure of this formula in the dataset: 835 meV/atom
- Calculated total energy: -3.1035 eV/atom
- Formation energy from raw total energies: 366.2 meV/atom
- Density of states at the Fermi level: 14.5 states/eV per cell

18.
Here is an optimized crystal structure of CaAsRuBr2 from Alexandria. Energies are from PBE.

abc: 5.4189 5.4189 5.8830
angles: 90.00 90.00 90.00
Last column: nearest neighbours and their distance in Å.
Element x y z (fractional)
Ca1 0.0000 0.0000 0.0000  4 Br 2.71, 2 As 2.94
As1 0.0000 0.0000 0.5000  2 Ca 2.94
Ru1 0.5000 0.5000 0.5000  4 As 3.83, 8 Br 4.00
Br1 0.0000 0.5000 0.0000  2 Ca 2.71
Br2 0.5000 0.0000 0.0000  2 Ca 2.71

Results
- Spin magnetization: 4.99 μB per formula unit
- Excess energy over the best structure of this formula in the dataset: 846 meV/atom
- Calculated total energy: -3.3475 eV/atom
- Formation energy from raw total energies: 507.0 meV/atom
- Density of states at the Fermi level: 3.4 states/eV per cell

19.
Here is an optimized crystal structure of CaAsRuBr2 from Alexandria. Energies are from PBE.

abc: 5.2666 5.2666 4.6878
angles: 90.00 90.00 90.00
Last column: nearest neighbours and their distance in Å.
Element x y z (fractional)
Br1 0.0000 0.5000 0.0000  2 Ru 2.63
Br2 0.5000 0.0000 0.0000  2 Ru 2.63
As1 0.0000 0.0000 0.5000  2 Ru 2.34
Ru1 0.0000 0.0000 0.0000  2 As 2.34
Ca1 0.5000 0.5000 0.5000  8 Br 3.53, 4 As 3.72

Results
- Spin magnetization: 0.00 μB per formula unit
- Excess energy over the best structure of this formula in the dataset: 0 meV/atom
- Calculated total energy: -4.1933 eV/atom
- Formation energy from raw total energies: -338.8 meV/atom
- Density of states at the Fermi level: 3.2 states/eV per cell

20.
Here is an optimized crystal structure of CaAs2RuBr from Alexandria. Energies are from PBE.

abc: 5.4343 5.4343 5.2912
angles: 90.00 90.00 90.00
Last column: nearest neighbours and their distance in Å.
Element x y z (fractional)
Ru1 0.5000 0.5000 0.5000  8 As 3.79, 4 Br 3.84
Ca1 0.0000 0.0000 0.0000  2 Br 2.65, 4 As 2.72
As1 0.0000 0.5000 0.0000  2 Ca 2.72
As2 0.5000 0.0000 0.0000  2 Ca 2.72
Br1 0.0000 0.0000 0.5000  2 Ca 2.65

Results
- Spin magnetization: 2.58 μB per formula unit
- Excess energy over the best structure of this formula in the dataset: 1324 meV/atom
- Calculated total energy: -3.3649 eV/atom
- Formation energy from raw total energies: 1085.0 meV/atom
- Density of states at the Fermi level: 7.1 states/eV per cell